Entry 1:
A geometry-optimized GeBiPt2 structure, computed with PBE.

The formation energy is -0.034 eV per atom. For the excess energy over the best structure of this formula in the dataset, the calculation gives 0.325 eV/atom.

The structure belongs to space group Fm-3m (No. 225); the cell edges are 6.770, 6.770 and 6.770 Å and the angles 90.00°, 90.00° and 90.00°. The asymmetric unit holds Ge at (0.000, 0.000, 0.000), Bi at (0.000, 0.000, 0.500) and Pt at (0.250, 0.250, 0.250).



Entry 2:
A geometry-optimized Ge3BiPt structure, computed with PBE.

The formation energy is 0.201 eV per atom. For the excess energy over the best structure of this formula in the dataset, the calculation gives 0.000 eV/atom.

The structure belongs to space group Pm-3m (No. 221); the cell edges are 4.957, 4.957 and 4.957 Å and the angles 90.00°, 90.00° and 90.00°. The asymmetric unit holds Ge at (0.000, 0.000, 0.500), Bi at (0.500, 0.500, 0.500) and Pt at (0.000, 0.000, 0.000).



Entry 3:
A geometry-optimized GeBiPt2 structure, computed with PBE.

The formation energy is -0.188 eV per atom. For the excess energy over the best structure of this formula in the dataset, the calculation gives 0.172 eV/atom.

The structure belongs to space group R3m (No. 160, hexagonal axes); the cell edges are 4.1781, 4.1781 and 16.5286 Å and the angles 90.00°, 90.00° and 120.00°. The asymmetric unit holds Ge at (0.0000, 0.0000, 0.0000), Bi at (0.0000, 0.0000, 0.8198), Pt at (0.0000, 0.0000, 0.3743) and Pt at (0.0000, 0.0000, 0.6052).



Entry 4:
A geometry-optimized GeBiPt4 structure, computed with PBE.

The formation energy is -0.219 eV per atom.

The structure belongs to space group C2/c (No. 15); the cell edges are 17.696, 5.582 and 4.590 Å and the angles 90.00°, 102.88° and 90.00°. The asymmetric unit holds Ge at (0.250, 0.250, 0.000), Bi at (0.000, 0.238, 0.250), Pt at (0.109, 0.358, 0.843) and Pt at (0.173, 0.139, 0.400).



Entry 5:
A geometry-optimized Ge2BiPt2 structure, computed with PBE.

The formation energy is -0.140 eV per atom. For the excess energy over the best structure of this formula in the dataset, the calculation gives 0.091 eV/atom.

The structure belongs to space group P4/mbm (No. 127); the cell edges are 7.763, 7.763 and 3.199 Å and the angles 90.00°, 90.00° and 90.00°. The asymmetric unit holds Ge at (0.147, 0.353, 0.000), Bi at (0.000, 0.000, 0.500) and Pt at (0.135, 0.635, 0.500).



Entry 6:
A geometry-optimized Ge2BiPt2 structure, computed with PBE.

The formation energy is -0.216 eV per atom. For the excess energy over the best structure of this formula in the dataset, the calculation gives 0.015 eV/atom.

The structure belongs to space group I4/mmm (No. 139); the cell edges are 4.576, 4.576 and 9.483 Å and the angles 90.00°, 90.00° and 90.00°. The asymmetric unit holds Ge at (0.000, 0.000, 0.131), Bi at (0.000, 0.000, 0.500) and Pt at (0.000, 0.500, 0.250).